Record 1
The following is a PBE calculation of a relaxed structure of Zn2CoTe, from Alexandria via LeMat-Bulk.

The value obtained for the density of states at the Fermi level is 2.962 states/eV/f.u. The value obtained for the calculated volume is 19.19 Å³/atom. The mass density comes out at 6865 kg/m³.

The structure belongs to space group P4/mmm (No. 123); the cell edges are 2.9544, 2.9544 and 8.7943 Å and the angles 90.00°, 90.00° and 90.00°. The asymmetric unit holds Zn at (0.0000, 0.0000, 0.1545), Co at (0.5000, 0.5000, 0.0000) and Te at (0.5000, 0.5000, 0.5000).

=====

Record 2
The following is a PBE calculation of a relaxed structure of Zn2CoTe, from Alexandria via LeMat-Bulk.

The value obtained for the density of states at the Fermi level is 2.464 states/eV/f.u. The value obtained for the calculated volume is 18.04 Å³/atom. The mass density comes out at 7305 kg/m³.

The structure belongs to space group Cmmm (No. 65); the cell edges are 5.3229, 6.3404 and 4.2752 Å and the angles 90.00°, 90.00° and 90.00°. The asymmetric unit holds Zn at (0.0000, 0.1996, 0.0000), Co at (0.0000, 0.0000, 0.5000) and Te at (0.0000, 0.5000, 0.5000).

=====

Number 1: ΔE_f (raw) 0.18 eV per atom. Number 2: ΔE_f (raw) 0.25 eV per atom.